Entry from Alexandria: a geometry-optimized Al2BiW structure (PBE).

abc: 4.7918 4.7918 4.7918
angles: 60.00 60.00 60.00
Last column: nearest neighbours and their distance in Å.
Fractional positions:
1 W 0.0000 0.0000 0.0000  8 Al 2.93
2 Al 0.7500 0.7500 0.7500  4 Bi 2.93, 4 W 2.93
3 Al 0.2500 0.2500 0.2500  4 W 2.93, 4 Bi 2.93
4 Bi 0.5000 0.5000 0.5000  8 Al 2.93

Properties
The calculation puts the total magnetization at 0.23 μB per atom. As for the volume: 19.45 Å³ per atom. Its space-group type is Fm-3m (225). The crystal system is cubic. The energy of formation from the pure elements is 0.805 eV per atom.

***

Entry from Alexandria: a geometry-optimized LiMgSeCl structure (PBE).

abc: 4.1687 4.1687 7.0446
angles: 90.02 107.16 120.06
Last column: nearest neighbours and their distance in Å.
Fractional positions:
1 Cl 0.4572 0.1134 0.5706  1 Mg 2.49, 3 Li 2.53-2.54
2 Mg 0.2083 0.9870 0.1953  1 Cl 2.49, 3 Se 2.54
3 Li 0.2035 0.4872 0.6906  3 Cl 2.53-2.54, 1 Se 2.53
4 Se 0.4601 0.6132 0.0732  1 Li 2.53, 3 Mg 2.54

Properties
Its uncorrected formation energy is -1.489 eV/atom. The calculation puts the total magnetization at 0.00 μB per atom. As for the volume: 24.90 Å³ per atom. Its space-group type is Cm (8). The crystal system is monoclinic.